# 1
Li2LaCl: relaxed, PBE.

Cell: 3.5790 3.4969 8.0208 Å, 90.00 102.69 90.00°
Last column: nearest neighbours and their distance in Å.
Space group Pm (No. 6)
Inequivalent atoms, fractional coordinates:
Li 0.0000 0.0000 0.0000 x1  4 Li 3.04-3.05
Li 0.3894 0.5000 0.7778 x1  2 Cl 2.48
La 0.6483 0.5000 0.3026 x1  4 Cl 3.18, 4 Li 3.44-3.45, 2 La 3.50
Cl 0.2714 0.0000 0.5527 x1  2 Li 2.48

Results
The crystal system is monoclinic. The value obtained for the relative energy among the computed polymorphs is 7.4 kJ/mol of atoms. For the uncorrected formation energy, the calculation gives -0.64 eV per atom. The raw total energy is -13.18 eV/cell.

# 2
ZrTe3W: relaxed, PBE.

Cell: 5.2938 5.2938 5.2938 Å, 90.00 90.00 90.00°
Last column: nearest neighbours and their distance in Å.
Space group Pm-3m (No. 221)
Inequivalent atoms, fractional coordinates:
Zr 0.0000 0.0000 0.0000 x1  12 Te 3.74
Te 0.0000 0.5000 0.5000 x3  2 W 2.65
W 0.5000 0.5000 0.5000 x1  6 Te 2.65

Results
The crystal system is cubic. The value obtained for the relative energy among the computed polymorphs is 0.0 kJ/mol of atoms. For the uncorrected formation energy, the calculation gives 0.79 eV per atom. The raw total energy is -26.95 eV/cell.

# 3
ReRuPtW: relaxed, PBE.

Cell: 3.8715 3.8950 3.9680 Å, 90.00 90.00 90.00°
Last column: nearest neighbours and their distance in Å.
Space group Pmmm (No. 47)
Inequivalent atoms, fractional coordinates:
Re 0.0000 0.0000 0.0000 x1  4 W 2.75, 4 Pt 2.77, 4 Ru 2.78
Ru 0.0000 0.5000 0.5000 x1  4 Pt 2.75, 4 W 2.77, 4 Re 2.78
Pt 0.5000 0.0000 0.5000 x1  4 Ru 2.75, 4 Re 2.77, 4 W 2.78
W 0.5000 0.5000 0.0000 x1  4 Re 2.75, 4 Ru 2.77, 4 Pt 2.78

Results
The crystal system is orthorhombic. The raw total energy is -41.29 eV/cell.